The following is a GGA-PBE calculation of a relaxed structure of Ac2In4Pd5, from the Alexandria database.

Unit cell a=12.156 b=6.631 c=7.659 alpha=90.00 beta=123.73 gamma=90.00
Space group C2/m (No. 12)
Inequivalent atoms, fractional coordinates:
Ac 0.031 0.000 0.276
In 0.118 0.500 0.434
In 0.183 0.500 0.905
Pd 0.000 0.500 0.000
Pd 0.249 0.289 0.273

Summary:
The value obtained for the density is 9350 kg/m³. The spin magnetization comes out at 0.0 μB per cell. For the energy relative to the elements, the calculation gives -6.3 eV/f.u.